(1)
# CoSi2Ag

Crystalline CoSi2Ag at its relaxed geometry (PBE, Alexandria via LeMat-Bulk).

Values from the calculation:
* magnetization: 0.00 μB per formula unit
* formation energy without anion corrections: 0.2705 eV per atom
* symmetry: I4/mmm

Unit cell a=4.484 b=4.484 c=4.484 alpha=127.94 beta=127.94 gamma=76.73
Fractional coordinates of all 4 atoms:
Co  0.750  0.250  0.500
Si  0.000  0.000  0.000
Si  0.500  0.500  0.000
Ag  0.250  0.750  0.500

=====

(2)
# K2PaRhS4

Crystalline K2PaRhS4 at its relaxed geometry (PBE, Alexandria via LeMat-Bulk).

Values from the calculation:
* magnetization: 0.51 μB per formula unit
* formation energy without anion corrections: -1.1439 eV per atom
* symmetry: P2/m

Unit cell a=4.088 b=6.096 c=7.875 alpha=109.02 beta=90.00 gamma=90.00
Each line ends with the local moment (μB).
Fractional coordinates of all 8 atoms:
S  0.500  0.222  0.191  0.02
Rh  0.000  0.000  0.000  0.23
S  0.500  0.778  0.809  0.02
S  0.000  0.751  0.198  0.00
S  0.000  0.249  0.802  0.00
Pa  0.500  0.500  0.000  0.18
K  0.500  0.000  0.500  0.00
K  0.000  0.500  0.500  0.00

=====

(3)
# Pu2Ge2Mo

Crystalline Pu2Ge2Mo at its relaxed geometry (PBE, Alexandria via LeMat-Bulk).

Values from the calculation:
* energy relative to the elements: -15.2 kJ per mole of atoms
* magnetization: 11.56 μB per formula unit
* symmetry: Ibam

Unit cell a=6.083 b=6.275 c=7.667 alpha=114.15 beta=113.37 gamma=90.00
Each line ends with the local moment (μB).
Fractional coordinates of all 10 atoms:
Pu  0.851  0.630  0.702  5.38
Pu  0.351  0.072  0.702  5.38
Ge  0.110  0.851  0.220  -0.04
Pu  0.649  0.928  0.298  5.38
Mo  0.250  0.500  0.000  0.01
Ge  0.610  0.369  0.220  -0.04
Pu  0.149  0.370  0.298  5.38
Ge  0.890  0.149  0.780  -0.04
Ge  0.390  0.631  0.780  -0.04
Mo  0.750  0.500  0.000  0.01

=====

(4)
# Zr2Te5Pd

Crystalline Zr2Te5Pd at its relaxed geometry (PBE, Alexandria via LeMat-Bulk).

Values from the calculation:
* magnetization: 0.00 μB per formula unit
* formation energy without anion corrections: -0.5631 eV per atom
* symmetry: Cmcm

Unit cell a=5.704 b=7.659 c=12.333 alpha=90.00 beta=90.00 gamma=111.86
Fractional coordinates of all 16 atoms:
Te  0.034  0.068  0.121
Pd  0.202  0.403  0.250
Pd  0.798  0.597  0.750
Te  0.731  0.463  0.250
Te  0.339  0.677  0.410
Te  0.966  0.932  0.621
Zr  0.174  0.348  0.539
Te  0.034  0.068  0.379
Te  0.966  0.932  0.879
Zr  0.826  0.652  0.039
Te  0.661  0.323  0.910
Zr  0.826  0.652  0.461
Zr  0.174  0.348  0.961
Te  0.339  0.677  0.090
Te  0.661  0.323  0.590
Te  0.269  0.537  0.750

=====

(5)
# MnSb2IrOs

Crystalline MnSb2IrOs at its relaxed geometry (PBE, Alexandria via LeMat-Bulk).

Values from the calculation:
* magnetization: 4.63 μB per formula unit
* formation energy without anion corrections: 1.1888 eV per atom
* symmetry: P4/mmm

Unit cell a=4.975 b=4.809 c=4.975 alpha=90.00 beta=90.00 gamma=90.00
Each line ends with the local moment (μB).
Fractional coordinates of all 5 atoms:
Mn  0.000  0.500  0.000  4.11
Sb  0.000  0.000  0.500  0.01
Ir  0.500  0.500  0.500  0.06
Os  0.000  0.000  0.000  0.12
Sb  0.500  0.000  0.000  0.01

=====

(6)
# Cu2SnSe4

Crystalline Cu2SnSe4 at its relaxed geometry (PBE, Alexandria via LeMat-Bulk).

Values from the calculation:
* magnetization: 0.00 μB per formula unit
* formation energy without anion corrections: -0.1881 eV per atom
* symmetry: P4_122

Unit cell a=7.599 b=7.599 c=10.796 alpha=90.00 beta=90.00 gamma=90.00
Fractional coordinates of all 28 atoms:
Se  0.731  0.499  0.486
Se  0.269  0.499  0.514
Se  0.501  0.269  0.764
Se  0.263  0.018  0.006
Cu  0.252  0.252  0.375
Se  0.501  0.731  0.736
Sn  0.732  0.000  0.250
Sn  0.000  0.268  0.000
Se  0.731  0.501  0.014
Se  0.018  0.263  0.744
Cu  0.500  0.745  0.500
Sn  0.268  0.000  0.750
Cu  0.748  0.748  0.875
Se  0.982  0.737  0.244
Se  0.018  0.737  0.756
Se  0.499  0.269  0.236
Se  0.737  0.018  0.994
Se  0.269  0.501  0.986
Se  0.499  0.731  0.264
Cu  0.255  0.500  0.750
Cu  0.748  0.252  0.625
Cu  0.252  0.748  0.125
Se  0.263  0.982  0.494
Se  0.982  0.263  0.256
Cu  0.500  0.255  0.000
Sn  0.000  0.732  0.500
Cu  0.745  0.500  0.250
Se  0.737  0.982  0.506

=====

(7)
# MgPdN3

Crystalline MgPdN3 at its relaxed geometry (PBE, Alexandria via LeMat-Bulk).

Values from the calculation:
* magnetization: 3.23 μB per formula unit
* formation energy without anion corrections: 1.5509 eV per atom
* symmetry: Pm-3m

Unit cell a=3.964 b=3.964 c=3.964 alpha=90.00 beta=90.00 gamma=90.00
Each line ends with the local moment (μB).
Fractional coordinates of all 5 atoms:
Pd  0.000  0.000  0.000  0.27
Mg  0.500  0.500  0.500  -0.03
N  0.500  0.000  0.000  0.93
N  0.000  0.000  0.500  0.48
N  0.000  0.500  0.000  0.79

=====

(8)
# KIn2Pt

Crystalline KIn2Pt at its relaxed geometry (PBE, Alexandria via LeMat-Bulk).

Values from the calculation:
* energy relative to the elements: -18.0 kJ per mole of atoms
* magnetization: 0.00 μB per formula unit
* symmetry: P4mm

Unit cell a=3.720 b=3.720 c=8.113 alpha=90.00 beta=90.00 gamma=90.00
Fractional coordinates of all 4 atoms:
In  0.000  0.000  0.941
Pt  0.500  0.500  0.844
K  0.000  0.000  0.523
In  0.500  0.500  0.192

=====

(9)
# Zr2Pa3P2N4

Crystalline Zr2Pa3P2N4 at its relaxed geometry (PBE, Alexandria via LeMat-Bulk).

Values from the calculation:
* magnetization: 0.00 μB per formula unit
* formation energy without anion corrections: -1.2798 eV per atom
* symmetry: I4/mmm

Unit cell a=3.956 b=3.956 c=12.722 alpha=98.94 beta=98.94 gamma=90.00
Fractional coordinates of all 11 atoms:
Pa  0.197  0.197  0.394
N  0.945  0.445  0.890
Pa  0.803  0.803  0.606
P  0.307  0.307  0.614
Pa  0.000  0.000  0.000
N  0.055  0.555  0.110
Zr  0.413  0.413  0.827
N  0.445  0.945  0.890
P  0.693  0.693  0.386
N  0.555  0.055  0.110
Zr  0.587  0.587  0.173

=====

(10)
# SrTeP2Au

Crystalline SrTeP2Au at its relaxed geometry (PBE, Alexandria via LeMat-Bulk).

Values from the calculation:
* magnetization: 0.00 μB per formula unit
* formation energy without anion corrections: 0.0454 eV per atom
* symmetry: P4/mmm

Unit cell a=4.899 b=5.681 c=4.899 alpha=90.00 beta=90.00 gamma=90.00
Fractional coordinates of all 5 atoms:
Te  0.000  0.500  0.000
Au  0.000  0.000  0.000
P  0.500  0.000  0.000
P  0.000  0.000  0.500
Sr  0.500  0.500  0.500

=====

(11)
# ErSc2Be

Crystalline ErSc2Be at its relaxed geometry (PBE, Alexandria via LeMat-Bulk).

Values from the calculation:
* energy relative to the elements: 64.5 kJ per mole of atoms
* magnetization: 0.00 μB per formula unit
* symmetry: R-3m

Unit cell a=3.220 b=3.220 c=10.997 alpha=81.58 beta=81.58 gamma=60.00
Fractional coordinates of all 4 atoms:
Sc  0.916  0.916  0.251
Er  0.500  0.500  0.500
Be  0.000  0.000  0.000
Sc  0.084  0.084  0.749

=====

(12)
# Pr2Y4HoSc

Crystalline Pr2Y4HoSc at its relaxed geometry (PBE, Alexandria via LeMat-Bulk).

Values from the calculation:
* energy relative to the elements: 3.7 kJ per mole of atoms
* magnetization: 0.00 μB per formula unit
* symmetry: P4/mmm

Unit cell a=5.056 b=5.053 c=11.235 alpha=63.26 beta=90.00 gamma=90.00
Fractional coordinates of all 8 atoms:
Ho  0.500  0.500  0.000
Sc  0.000  0.500  0.500
Y  0.500  0.746  0.254
Y  0.000  0.245  0.254
Y  0.500  0.254  0.746
Pr  0.000  0.000  0.000
Y  0.000  0.755  0.746
Pr  0.500  0.000  0.500

=====

The highest magnetization belongs to which entry?
Pu2Ge2Mo

=====

Which value of magnetization does entry 3 give?
11.56 μB per formula unit

=====

magnetization of number 3 (Pu2Ge2Mo)?
11.56 μB per formula unit